DFT (PBE-GGA) results for PmGdGePd after structural relaxation.

Lattice parameters (Å, degrees): 5.1025 5.1025 5.1025 60.00 60.00 60.00
Positions (direct):
Gd: 0.0000 0.0000 0.0000
Ge: 0.2500 0.2500 0.2500
Pd: 0.7500 0.7500 0.7500
Pm: 0.5000 0.5000 0.5000

Values from the calculation:
Space group: No. 216
Total magnetic moment in μB/f.u.: 7.26
Formation energy from the elements in meV/atom: -763